Record 1
This record from Alexandria describes an optimized crystal structure of As2I3F5. The functional is PBE.

Calculated values
- Total energy: -69.8 eV per cell
- Uncorrected formation energy: -1.16 eV per atom

Cell lengths 6.721, 9.421, 9.421 Å; angles 78.01, 69.10, 69.10 degrees
Element x y z (fractional)
As: 0.367 0.574 0.693
As: 0.633 0.426 0.307
As: 0.867 0.693 0.574
As: 0.133 0.307 0.426
I: 0.250 0.000 0.000
I: 0.750 0.000 0.000
I: 0.508 0.249 0.735
I: 0.492 0.751 0.265
I: 0.008 0.735 0.249
I: 0.992 0.265 0.751
F: 0.250 0.500 0.500
F: 0.750 0.500 0.500
F: 0.542 0.708 0.708
F: 0.958 0.292 0.292
F: 0.458 0.292 0.292
F: 0.042 0.708 0.708
F: 0.268 0.569 0.895
F: 0.732 0.431 0.105
F: 0.768 0.895 0.569
F: 0.232 0.105 0.431



Record 2
This record from Alexandria describes an optimized crystal structure of KBPb. The functional is PBE.

Calculated values
- E above lowest polymorph: 408.6 meV/atom
- Energy of formation from the pure elements: 0.55 eV per atom
- Total energy: -9.8 eV per cell

Cell lengths 4.081, 4.081, 5.577 Å; angles 90.00, 90.00, 120.00 degrees
Element x y z (fractional)
Pb: 0.333 0.667 0.000
K: 0.667 0.333 0.500
B: 0.000 0.000 0.000



Record 3
This record from Alexandria describes an optimized crystal structure of K2HgSb. The functional is PBE.

Calculated values
- E above lowest polymorph: 90.9 meV/atom
- Total energy: -7.6 eV per cell
- Uncorrected formation energy: -0.25 eV per atom

Cell lengths 4.925, 3.440, 9.162 Å; angles 67.84, 90.00, 90.00 degrees
Element x y z (fractional)
Hg: 0.500 0.750 0.750
K: 0.000 0.979 0.020
K: 0.000 0.521 0.480
Sb: 0.500 0.250 0.250



Record 4
This record from Alexandria describes an optimized crystal structure of Be3Te. The functional is PBE.

Calculated values
- E above lowest polymorph: 291.0 meV/atom
- Total energy: -12.3 eV per cell
- Uncorrected formation energy: 0.50 eV per atom

Cell lengths 3.835, 3.723, 4.151 Å; angles 89.99, 90.00, 90.00 degrees
Element x y z (fractional)
Be: 0.000 0.750 0.996
Be: 0.500 0.750 0.750
Be: 0.000 0.750 0.504
Te: 0.500 0.250 0.250



Record 5
This record from Alexandria describes an optimized crystal structure of Sb2OsPb. The functional is PBE.

Calculated values
- Total energy: -22.0 eV per cell
- Uncorrected formation energy: 0.28 eV per atom

Cell lengths 9.949, 9.949, 9.949 Å; angles 19.79, 19.79, 19.79 degrees
Element x y z (fractional)
Os: 0.250 0.250 0.250
Pb: 0.750 0.750 0.750
Sb: 0.981 0.981 0.981
Sb: 0.519 0.519 0.519



Record 6
This record from Alexandria describes an optimized crystal structure of Ba2AcHgSe5. The functional is PBE.

Calculated values
- Total energy: -77.5 eV per cell
- Uncorrected formation energy: -1.45 eV per atom

Cell lengths 4.480, 10.024, 13.372 Å; angles 90.00, 90.00, 102.91 degrees
Element x y z (fractional)
Ba: 0.873 0.747 0.819
Ba: 0.114 0.228 0.686
Ba: 0.127 0.253 0.319
Ba: 0.886 0.772 0.186
Ac: 0.794 0.588 0.511
Ac: 0.206 0.412 0.011
Hg: 0.538 0.075 0.950
Hg: 0.462 0.925 0.450
Se: 0.361 0.722 0.005
Se: 0.685 0.371 0.854
Se: 0.495 0.991 0.765
Se: 0.293 0.586 0.672
Se: 0.954 0.908 0.563
Se: 0.639 0.278 0.505
Se: 0.315 0.629 0.354
Se: 0.505 0.009 0.265
Se: 0.707 0.414 0.172
Se: 0.046 0.092 0.063



Record 7
This record from Alexandria describes an optimized crystal structure of DyTm4Mg. The functional is PBE.

Calculated values
- E above lowest polymorph: 0.0 meV/atom
- Energy of formation from the pure elements: -0.01 eV per atom
- Total energy: -24.1 eV per cell

Cell lengths 3.504, 3.504, 14.288 Å; angles 90.00, 90.00, 90.00 degrees
Element x y z (fractional)
Dy: 0.000 0.000 0.000
Tm: 0.500 0.500 0.174
Tm: 0.000 0.000 0.656
Tm: 0.000 0.000 0.344
Tm: 0.500 0.500 0.826
Mg: 0.500 0.500 0.500



Record 8
This record from Alexandria describes an optimized crystal structure of ScInSiO2. The functional is PBE.

Calculated values
- Total energy: -26.5 eV per cell
- Uncorrected formation energy: -0.42 eV per atom

Cell lengths 3.882, 5.316, 3.882 Å; angles 90.00, 90.00, 90.00 degrees
Element x y z (fractional)
Sc: 0.000 0.500 0.000
Si: 0.000 0.000 0.000
O: 0.000 0.000 0.500
O: 0.500 0.000 0.000
In: 0.500 0.500 0.500



Record 9
This record from Alexandria describes an optimized crystal structure of MgUTl. The functional is PBE.

Calculated values
- Energy of formation from the pure elements: 0.15 eV per atom
- Total energy: -59.2 eV per cell

Cell lengths 4.814, 6.424, 9.647 Å; angles 72.11, 90.00, 90.00 degrees
Last column: magnetic moment on the atom in μB.
Element x y z (fractional)
Tl: 0.250 0.276 0.717  0.00
Tl: 0.750 0.224 0.283  0.00
Tl: 0.750 0.724 0.283  0.00
Tl: 0.250 0.776 0.717  0.00
U: 0.250 0.392 0.035  2.15
U: 0.250 0.892 0.035  2.15
U: 0.750 0.608 0.965  2.15
U: 0.750 0.108 0.965  2.15
Mg: 0.250 0.935 0.392  0.00
Mg: 0.250 0.435 0.392  0.00
Mg: 0.750 0.065 0.608  0.00
Mg: 0.750 0.565 0.608  0.00



Record 10
This record from Alexandria describes an optimized crystal structure of BPdS. The functional is PBE.

Calculated values
- E above lowest polymorph: 19.1 meV/atom
- Total energy: -33.1 eV per cell
- Uncorrected formation energy: -0.19 eV per atom

Cell lengths 4.454, 2.997, 7.330 Å; angles 90.00, 107.68, 90.00 degrees
Element x y z (fractional)
S: 0.139 0.000 0.613
S: 0.861 0.000 0.061
B: 0.060 0.500 0.454
B: 0.939 0.500 0.214
Pd: 0.507 0.500 0.349
Pd: 0.683 0.000 0.701



Record 11
This record from Alexandria describes an optimized crystal structure of Ac4SmZn. The functional is PBE.

Calculated values
- Energy of formation from the pure elements: -0.06 eV per atom
- Total energy: -22.8 eV per cell

Cell lengths 3.920, 3.920, 14.875 Å; angles 90.00, 90.00, 90.00 degrees
Element x y z (fractional)
Ac: 0.500 0.500 0.174
Ac: 0.000 0.000 0.630
Ac: 0.000 0.000 0.370
Ac: 0.500 0.500 0.826
Sm: 0.000 0.000 0.000
Zn: 0.500 0.500 0.500



Record 12
This record from Alexandria describes an optimized crystal structure of PuUTe2O. The functional is PBE.

Calculated values
- Total energy: -88.3 eV per cell
- Uncorrected formation energy: -1.45 eV per atom

Cell lengths 4.160, 4.160, 14.519 Å; angles 90.00, 90.00, 90.00 degrees
Last column: magnetic moment on the atom in μB.
Element x y z (fractional)
Pu: 0.500 0.000 0.574  4.91
Pu: 0.000 0.500 0.426  4.91
U: 0.500 0.000 0.087  -2.38
U: 0.000 0.500 0.913  -2.38
Te: 0.000 0.500 0.696  -0.06
Te: 0.000 0.500 0.128  0.06
Te: 0.500 0.000 0.872  0.06
Te: 0.500 0.000 0.304  -0.06
O: 0.000 0.000 0.500  -0.14
O: 0.500 0.500 0.500  -0.14



Calculated volume, record by record: 518; 80; 144; 59; 99; 585; 175; 80; 284; 93; 229; 251 Å³/cell
DOS at the Fermi energy, record by record: 9.36; 0.18; 2.51; 0.92; 3.23; 17.34; 8.81; 3.81; 14.55; 0.70; 8.03; 19.06 states/eV/cell